[1]
Density functional theory data (PBE) for a geometry-optimized Tl4Rh structure.

Properties
- energy relative to the elements (meV per atom) = 44.2
- symmetry = Pm-3m, No. 221
- density (Mg/m³) = 10.262
- magnetic moment (μB/cell) = 0.00
- volume (Å³/cell) = 148.9
- crystal system = cubic

a b c (Å): 5.3008 5.3008 5.3008
angles (deg): 90.00 90.00 90.00
Sites, in units of the cell vectors:
Tl 0.0000 0.0000 0.0000
Tl 0.0000 0.5000 0.5000
Tl 0.5000 0.0000 0.5000
Tl 0.5000 0.5000 0.0000
Rh 0.5000 0.5000 0.5000

[2]
Density functional theory data (PBE) for a geometry-optimized K2LiPb structure.

Properties
- energy relative to the elements (meV per atom) = 49.8
- symmetry = P4/mmm, No. 123
- density (Mg/m³) = 3.306
- magnetic moment (μB/cell) = 0.00
- volume (Å³/cell) = 146.8
- crystal system = tetragonal

a b c (Å): 4.9935 4.9935 5.8884
angles (deg): 90.00 90.00 90.00
Sites, in units of the cell vectors:
Pb 0.0000 0.5000 0.5000
Li 0.5000 0.0000 0.5000
K 0.0000 0.0000 0.0000
K 0.5000 0.5000 0.0000

[3]
Density functional theory data (PBE) for a geometry-optimized Y2InAs2 structure.

Properties
- energy relative to the elements (meV per atom) = -818.4
- symmetry = P4/mbm, No. 127
- density (Mg/m³) = 5.971
- magnetic moment (μB/cell) = 0.00
- volume (Å³/cell) = 246.1
- crystal system = tetragonal

a b c (Å): 8.0676 8.0676 3.7810
angles (deg): 90.00 90.00 90.00
Sites, in units of the cell vectors:
As 0.1584 0.6584 0.5000
As 0.3416 0.1584 0.5000
In 0.0000 0.0000 0.0000
Y 0.3527 0.8527 0.0000
Y 0.1473 0.3527 0.0000
Y 0.8527 0.6473 0.0000
As 0.8416 0.3416 0.5000
In 0.5000 0.5000 0.0000
As 0.6584 0.8416 0.5000
Y 0.6473 0.1473 0.0000

[4]
Density functional theory data (PBE) for a geometry-optimized SbHN2O structure.

Properties
- symmetry = P4/mmm, No. 123
- density (Mg/m³) = 5.787
- magnetic moment (μB/cell) = 0.00
- energy (eV/atom) = -4.471
- volume (Å³/cell) = 47.9
- crystal system = tetragonal

a b c (Å): 3.1463 3.1463 4.8348
angles (deg): 90.00 90.00 90.00
Sites, in units of the cell vectors:
N 0.0000 0.5000 0.0000
N 0.5000 0.0000 0.0000
O 0.0000 0.0000 0.5000
H 0.0000 0.0000 0.0000
Sb 0.5000 0.5000 0.5000

[5]
Density functional theory data (PBE) for a geometry-optimized Cs2Mg7Tl12 structure.

Properties
- energy relative to the elements (meV per atom) = 8.0
- symmetry = P-3, No. 147
- density (Mg/m³) = 7.367
- magnetic moment (μB/cell) = 0.00
- volume (Å³/cell) = 651.0
- crystal system = trigonal

a b c (Å): 5.1083 12.1311 12.1312
angles (deg): 120.00 90.00 90.00
Sites, in units of the cell vectors:
Tl 0.7759 0.8679 0.7469
Mg 0.2661 0.3895 0.1000
Cs 0.7548 0.6667 0.3333
Tl 0.2447 0.6229 0.0626
Tl 0.2447 0.9374 0.5604
Tl 0.2241 0.1321 0.2531
Tl 0.7759 0.8790 0.1321
Tl 0.2447 0.4396 0.3771
Mg 0.2661 0.9000 0.2895
Mg 0.2661 0.7105 0.6105
Tl 0.2241 0.7469 0.8790
Tl 0.7759 0.2531 0.1210
Tl 0.7553 0.3771 0.9374
Mg 0.7339 0.1000 0.7105
Mg 0.7339 0.6105 0.9000
Tl 0.7553 0.5604 0.6229
Cs 0.2452 0.3333 0.6667
Mg 0.5000 0.0000 0.0000
Tl 0.2241 0.1210 0.8679
Tl 0.7553 0.0626 0.4396
Mg 0.7339 0.2895 0.3895

[6]
Density functional theory data (PBE) for a geometry-optimized BaNbH structure.

Properties
- symmetry = P-1, No. 2
- density (Mg/m³) = 5.271
- magnetic moment (μB/cell) = 0.00
- energy (eV/atom) = -4.950
- volume (Å³/cell) = 145.7
- crystal system = triclinic

a b c (Å): 10.4891 3.6057 3.9135
angles (deg): 90.04 93.84 99.34
Sites, in units of the cell vectors:
Nb 0.0421 0.2701 0.7420
H 0.8857 0.1960 0.3990
Nb 0.9579 0.7299 0.2580
Ba 0.6929 0.1038 0.7897
Ba 0.3071 0.8962 0.2103
H 0.1143 0.8040 0.6010

[7]
Density functional theory data (PBE) for a geometry-optimized Na2O structure.

Properties
- symmetry = P-62m, No. 189
- density (Mg/m³) = 2.549
- magnetic moment (μB/cell) = 0.07
- energy relative to the elements, uncorrected (meV per atom) = -1130
- volume (Å³/cell) = 121.1
- crystal system = hexagonal

a b c (Å): 6.2035 6.2035 3.6342
angles (deg): 90.00 90.00 120.00
Sites, in units of the cell vectors:
Na 0.0000 0.4121 0.0000
O 0.0000 0.0000 0.0000
O 0.6667 0.3333 0.5000
Na 0.5879 0.5879 0.0000
O 0.3333 0.6667 0.5000
Na 0.7388 0.0000 0.5000
Na 0.2612 0.2612 0.5000
Na 0.0000 0.7388 0.5000
Na 0.4121 0.0000 0.0000

[8]
Density functional theory data (PBE) for a geometry-optimized CePmTm structure.

Properties
- energy relative to the elements (meV per atom) = 77.3
- symmetry = I4mm, No. 107
- density (Mg/m³) = 8.100
- magnetic moment (μB/cell) = 0.34
- volume (Å³/cell) = 93.1
- crystal system = tetragonal

a b c (Å): 3.5375 3.5375 7.8479
angles (deg): 103.03 103.03 90.00
Sites, in units of the cell vectors:
Pm 0.9957 0.9957 0.9914
Tm 0.6729 0.6729 0.3458
Ce 0.3314 0.3314 0.6628

[9]
Density functional theory data (PBE) for a geometry-optimized TlGaAgPt structure.

Properties
- energy relative to the elements (meV per atom) = -79.6
- symmetry = P1, No. 1
- density (Mg/m³) = 11.305
- magnetic moment (μB/cell) = 0.00
- volume (Å³/cell) = 84.8
- crystal system = triclinic

a b c (Å): 3.6353 5.2239 5.3434
angles (deg): 66.25 70.01 69.93
Sites, in units of the cell vectors:
Ag 0.5863 0.3525 0.3101
Pt 0.2658 0.4736 0.8323
Ga 0.8097 0.7197 0.5030
Tl 0.9579 0.0113 0.8932

[10]
Density functional theory data (PBE) for a geometry-optimized Sb2TeMoSe structure.

Properties
- symmetry = P4/mmm, No. 123
- density (Mg/m³) = 6.421
- magnetic moment (μB/cell) = 0.00
- energy relative to the elements, uncorrected (meV per atom) = 428
- volume (Å³/cell) = 141.2
- crystal system = tetragonal

a b c (Å): 5.2568 5.2568 5.1100
angles (deg): 90.00 90.00 90.00
Sites, in units of the cell vectors:
Sb 0.0000 0.5000 0.0000
Mo 0.0000 0.0000 0.0000
Se 0.5000 0.5000 0.5000
Sb 0.5000 0.0000 0.0000
Te 0.0000 0.0000 0.5000

[11]
Density functional theory data (PBE) for a geometry-optimized Tb6Ce2PrY3 structure.

Properties
- energy relative to the elements (meV per atom) = 52.1
- symmetry = C2/m, No. 12
- density (Mg/m³) = 7.065
- magnetic moment (μB/cell) = 1.83
- volume (Å³/cell) = 385.8
- crystal system = monoclinic

a b c (Å): 6.1838 6.1838 11.8329
angles (deg): 95.00 95.00 120.01
Sites, in units of the cell vectors:
Tb 0.4203 0.0836 0.2496
Y 0.5000 0.5000 0.5000
Pr 0.0000 0.0000 0.0000
Tb 0.0836 0.4203 0.2496
Y 0.1664 0.8336 0.5000
Ce 0.3332 0.6668 0.0000
Ce 0.6668 0.3332 0.0000
Tb 0.9164 0.5797 0.7504
Tb 0.2530 0.2530 0.7504
Tb 0.5797 0.9164 0.7504
Tb 0.7470 0.7470 0.2496
Y 0.8336 0.1664 0.5000

[12]
Density functional theory data (PBE) for a geometry-optimized Rb3Bi2Cl2O4 structure.

Properties
- symmetry = I4/mmm, No. 139
- density (Mg/m³) = 5.146
- magnetic moment (μB/cell) = 0.00
- energy relative to the elements, uncorrected (meV per atom) = -1305
- volume (Å³/cell) = 261.1
- crystal system = tetragonal

a b c (Å): 4.5244 4.5244 13.1507
angles (deg): 99.91 99.91 90.00
Sites, in units of the cell vectors:
Rb 0.1650 0.1650 0.3301
O 0.4179 0.9179 0.8358
Cl 0.6939 0.6939 0.3879
Bi 0.5869 0.5869 0.1737
O 0.5821 0.0821 0.1642
Rb 0.0000 0.0000 0.0000
Bi 0.4131 0.4131 0.8263
Rb 0.8350 0.8350 0.6699
O 0.0821 0.5821 0.1642
Cl 0.3061 0.3061 0.6121
O 0.9179 0.4179 0.8358

[13]
Density functional theory data (PBE) for a geometry-optimized Ba3Np structure.

Properties
- energy relative to the elements (meV per atom) = 722.9
- symmetry = Fm-3m, No. 225
- density (Mg/m³) = 5.156
- magnetic moment (μB/cell) = 5.02
- volume (Å³/cell) = 209.0
- crystal system = cubic

a b c (Å): 6.6613 6.6613 6.6613
angles (deg): 60.00 60.00 60.00
Sites, in units of the cell vectors:
Ba 0.5000 0.5000 0.5000
Ba 0.2500 0.2500 0.2500
Ba 0.7500 0.7500 0.7500
Np 0.0000 0.0000 0.0000